<P>
First-principles (PBE) data for HfTi2Ru after structural relaxation, as listed in Alexandria.

Total moment ... 0.00 μB per cell

Cell lengths 3.107, 3.107, 7.058 Å; angles 90.00, 90.00, 90.00 degrees
Space group P4/mmm (No. 123)
Inequivalent atoms, fractional coordinates:
Hf (0.000, 0.000, 0.000) x1
Ti (0.500, 0.500, 0.286) x2
Ru (0.000, 0.000, 0.500) x1

<Q>
First-principles (PBE) data for HfTi2Ru after structural relaxation, as listed in Alexandria.

Total moment ... 0.00 μB per cell

Cell lengths 3.069, 19.680, 4.678 Å; angles 90.00, 90.00, 90.00 degrees
Space group Cmcm (No. 63)
Inequivalent atoms, fractional coordinates:
Hf (0.000, 0.116, 0.250) x4
Ti (0.000, 0.247, 0.750) x4
Ti (0.000, 0.472, 0.250) x4
Ru (0.000, 0.354, 0.250) x4

<R>
First-principles (PBE) data for HfTi2Ru after structural relaxation, as listed in Alexandria.

Total moment ... 0.00 μB per cell

Cell lengths 3.157, 4.608, 9.392 Å; angles 90.00, 90.00, 90.00 degrees
Space group Immm (No. 71)
Inequivalent atoms, fractional coordinates:
Hf (0.000, 0.000, 0.000) x2
Ti (0.000, 0.500, 0.227) x4
Ru (0.000, 0.000, 0.500) x2

<S>
First-principles (PBE) data for HfTi2Ru after structural relaxation, as listed in Alexandria.

Total moment ... 0.00 μB per cell

Cell lengths 6.431, 6.431, 6.431 Å; angles 90.00, 90.00, 90.00 degrees
Space group Fm-3m (No. 225)
Inequivalent atoms, fractional coordinates:
Hf (0.000, 0.000, 0.000) x4
Ti (0.250, 0.250, 0.250) x8
Ru (0.000, 0.000, 0.500) x4

Here are the energies relative to the best structure, in eV/atom: <P> 0.062; <Q> 0.164; <R> 0.000; <S> 0.251.

<P>
First-principles (PBE) data for HfTiRu after structural relaxation, as listed in Alexandria.

Total moment ... 0.00 μB per cell

Cell lengths 4.617, 3.197, 13.802 Å; angles 90.00, 90.00, 90.00 degrees
Space group Amm2 (No. 38)
Inequivalent atoms, fractional coordinates:
Hf (0.000, 0.000, 0.000) x2
Hf (0.500, 0.000, 0.163) x2
Ti (0.000, 0.000, 0.320) x2
Ti (0.500, 0.000, 0.472) x2
Ru (0.000, 0.000, 0.664) x2
Ru (0.500, 0.000, 0.824) x2

<Q>
First-principles (PBE) data for HfTiRu after structural relaxation, as listed in Alexandria.

Total moment ... 0.00 μB per cell

Cell lengths 5.416, 5.461, 7.010 Å; angles 90.00, 90.00, 90.00 degrees
Space group Imma (No. 74)
Inequivalent atoms, fractional coordinates:
Hf (0.000, 0.250, 0.134) x4
Ti (0.250, 0.250, 0.750) x4
Ru (0.000, 0.000, 0.500) x4

Here are the energies relative to the best structure, in eV/atom: <P> 0.000; <Q> 0.015.

<P>
First-principles (PBE) data for Hf2TlRu after structural relaxation, as listed in Alexandria.

Total moment ... 0.00 μB per cell

Cell lengths 7.736, 7.736, 5.793 Å; angles 90.00, 90.00, 90.00 degrees
Space group I-42d (No. 122)
Inequivalent atoms, fractional coordinates:
Hf (0.196, 0.250, 0.125) x8
Tl (0.000, 0.000, 0.500) x4
Ru (0.000, 0.000, 0.000) x4

<Q>
First-principles (PBE) data for Hf2TlRu after structural relaxation, as listed in Alexandria.

Total moment ... 0.00 μB per cell

Cell lengths 3.172, 3.172, 7.995 Å; angles 90.00, 90.00, 90.00 degrees
Space group P4/mmm (No. 123)
Inequivalent atoms, fractional coordinates:
Hf (0.000, 0.000, 0.207) x2
Tl (0.500, 0.500, 0.500) x1
Ru (0.500, 0.500, 0.000) x1

Here are the energies relative to the best structure, in eV/atom: <P> 0.474; <Q> 0.000.

<P>
First-principles (PBE) data for HfTl2Ru2 after structural relaxation, as listed in Alexandria.

Total moment ... 0.00 μB per cell

Cell lengths 7.781, 7.781, 3.152 Å; angles 90.00, 90.00, 90.00 degrees
Space group P4/mbm (No. 127)
Inequivalent atoms, fractional coordinates:
Hf (0.000, 0.000, 0.000) x2
Tl (0.134, 0.366, 0.000) x4
Ru (0.166, 0.666, 0.500) x4

<Q>
First-principles (PBE) data for HfTl2Ru2 after structural relaxation, as listed in Alexandria.

Total moment ... 0.00 μB per cell

Cell lengths 3.533, 3.533, 17.014 Å; angles 90.00, 90.00, 90.00 degrees
Space group I4/mmm (No. 139)
Inequivalent atoms, fractional coordinates:
Hf (0.000, 0.000, 0.000) x2
Tl (0.000, 0.000, 0.387) x4
Ru (0.000, 0.500, 0.250) x4

Here are the energies relative to the best structure, in eV/atom: <P> 0.000; <Q> 0.266.